(1)
A relaxed structure of Mn2BeAg, computed with PBE.

## Properties
N(E_F) = 3.11 states/eV per cell

Cell lengths 4.990, 4.990, 4.091 Å; angles 65.84, 65.84, 32.00 degrees
Last column: magnetic moment on the atom in μB.
Atoms (fractional coordinates):
1 Be 0.250 0.250 0.250  -0.06
2 Mn 0.522 0.522 0.478  2.00
3 Ag 0.750 0.750 0.750  0.03
4 Mn 0.978 0.978 0.022  2.00

---

(2)
A relaxed structure of Mn2Be2Ag, computed with PBE.

## Properties
N(E_F) = 6.72 states/eV per cell

Cell lengths 6.439, 6.439, 2.838 Å; angles 90.00, 90.00, 90.00 degrees
Last column: magnetic moment on the atom in μB.
Atoms (fractional coordinates):
1 Mn 0.164 0.664 0.500  2.85
2 Be 0.625 0.125 0.000  -0.09
3 Be 0.125 0.375 0.000  -0.09
4 Ag 0.000 0.000 0.000  0.04
5 Mn 0.836 0.336 0.500  2.85
6 Mn 0.664 0.836 0.500  2.85
7 Be 0.875 0.625 0.000  -0.09
8 Ag 0.500 0.500 0.000  0.04
9 Mn 0.336 0.164 0.500  2.85
10 Be 0.375 0.875 0.000  -0.09

---

(3)
A relaxed structure of MnBeAg, computed with PBE.

## Properties
ΔE to the lowest computed polymorph = 0.0 meV per atom
N(E_F) = 1.40 states/eV per cell

Cell lengths 5.438, 5.438, 5.438 Å; angles 150.56, 150.57, 42.12 degrees
Last column: magnetic moment on the atom in μB.
Atoms (fractional coordinates):
1 Ag 0.014 0.014 0.000  0.00
2 Mn 0.308 0.308 0.000  2.93
3 Be 0.677 0.677 0.000  -0.09

---

(4)
A relaxed structure of Mn2BeAg, computed with PBE.

## Properties
N(E_F) = 2.28 states/eV per cell

Cell lengths 8.356, 8.356, 8.356 Å; angles 17.95, 17.95, 17.95 degrees
Atoms (fractional coordinates):
1 Ag 0.495 0.495 0.495
2 Mn 0.261 0.261 0.261
3 Mn 0.001 0.001 0.001
4 Be 0.742 0.742 0.742

---

(5)
A relaxed structure of Mn2BeAg, computed with PBE.

## Properties
N(E_F) = 3.64 states/eV per cell

Cell lengths 5.082, 5.082, 2.633 Å; angles 78.22, 78.22, 121.36 degrees
Last column: magnetic moment on the atom in μB.
Atoms (fractional coordinates):
1 Mn 0.000 0.000 0.000  2.70
2 Be 0.000 0.500 0.500  -0.08
3 Ag 0.500 0.000 0.500  0.06
4 Mn 0.500 0.500 0.000  2.70

---

(6)
A relaxed structure of Mn2BeAg, computed with PBE.

## Properties
N(E_F) = 5.64 states/eV per cell

Cell lengths 4.799, 4.799, 4.799 Å; angles 138.53, 138.53, 60.10 degrees
Last column: magnetic moment on the atom in μB.
Atoms (fractional coordinates):
1 Mn 0.500 0.500 0.000  1.13
2 Be 0.750 0.250 0.500  -0.06
3 Mn 0.000 0.000 0.000  1.13
4 Ag 0.250 0.750 0.500  -0.01

---

(7)
A relaxed structure of Mn2BeAg, computed with PBE.

## Properties
N(E_F) = 3.01 states/eV per cell

Cell lengths 4.595, 4.595, 2.783 Å; angles 90.00, 90.00, 108.47 degrees
Last column: magnetic moment on the atom in μB.
Atoms (fractional coordinates):
1 Be 0.000 0.500 0.500  -0.13
2 Mn 0.000 0.000 0.000  3.39
3 Mn 0.500 0.500 0.000  3.39
4 Ag 0.500 0.000 0.500  0.06

---

(8)
A relaxed structure of Mn2BeAg, computed with PBE.

## Properties
N(E_F) = 2.52 states/eV per cell

Cell lengths 2.761, 2.761, 6.959 Å; angles 90.00, 90.00, 90.01 degrees
Last column: magnetic moment on the atom in μB.
Atoms (fractional coordinates):
1 Mn 0.000 0.000 0.951  3.23
2 Be 0.500 0.500 0.750  -0.12
3 Ag 0.500 0.500 0.250  0.05
4 Mn 0.000 0.000 0.549  3.23

---

(9)
A relaxed structure of MnBeAg, computed with PBE.

## Properties
ΔE to the lowest computed polymorph = 265.8 meV per atom
N(E_F) = 1.41 states/eV per cell

Cell lengths 3.933, 3.933, 3.933 Å; angles 60.00, 60.00, 60.00 degrees
Last column: magnetic moment on the atom in μB.
Atoms (fractional coordinates):
1 Ag 0.500 0.500 0.500  -0.06
2 Be 0.750 0.750 0.750  -0.15
3 Mn 0.000 0.000 0.000  3.23

---

(10)
A relaxed structure of MnBeAg, computed with PBE.

## Properties
ΔE to the lowest computed polymorph = 128.4 meV per atom
N(E_F) = 1.73 states/eV per cell

Cell lengths 4.119, 4.119, 2.846 Å; angles 90.00, 90.00, 120.00 degrees
Last column: magnetic moment on the atom in μB.
Atoms (fractional coordinates):
1 Be 0.667 0.333 0.167  -0.10
2 Ag 0.000 0.000 0.167  0.02
3 Mn 0.333 0.667 0.667  3.65

---

(11)
A relaxed structure of Mn2BeAg, computed with PBE.

## Properties
N(E_F) = 2.59 states/eV per cell

Cell lengths 2.764, 2.764, 6.535 Å; angles 90.00, 90.00, 90.00 degrees
Last column: magnetic moment on the atom in μB.
Atoms (fractional coordinates):
1 Mn 0.000 0.000 0.982  -1.65
2 Ag 0.000 0.000 0.530  0.03
3 Mn 0.500 0.500 0.203  2.87
4 Be 0.500 0.500 0.784  0.03

---

(12)
A relaxed structure of Mn2BeAg, computed with PBE.

## Properties
N(E_F) = 6.82 states/eV per cell

Cell lengths 3.368, 3.368, 9.327 Å; angles 79.60, 79.60, 90.00 degrees
Last column: magnetic moment on the atom in μB.
Atoms (fractional coordinates):
1 Be 0.500 0.500 0.000  0.00
2 Mn 0.875 0.811 0.750  0.18
3 Mn 0.561 0.125 0.250  0.28
4 Mn 0.189 0.625 0.250  0.29
5 Ag 0.000 0.000 0.000  0.02
6 Be 0.250 0.750 0.500  0.00
7 Mn 0.375 0.439 0.750  0.18
8 Ag 0.750 0.250 0.500  0.02

---

(13)
A relaxed structure of MnBeAg3, computed with PBE.

## Properties
ΔE to the lowest computed polymorph = 842.1 meV per atom
N(E_F) = 2.99 states/eV per cell

Cell lengths 4.913, 4.913, 4.913 Å; angles 90.00, 90.00, 90.00 degrees
Last column: magnetic moment on the atom in μB.
Atoms (fractional coordinates):
1 Be 0.500 0.500 0.500  0.04
2 Mn 0.000 0.000 0.000  3.93
3 Ag 0.000 0.500 0.000  0.08
4 Ag 0.500 0.000 0.000  0.06
5 Ag 0.000 0.000 0.500  0.11

---

(14)
A relaxed structure of MnBeAg3, computed with PBE.

## Properties
ΔE to the lowest computed polymorph = 0.0 meV per atom
N(E_F) = 2.16 states/eV per cell

Cell lengths 4.425, 4.425, 4.425 Å; angles 90.00, 90.00, 90.00 degrees
Last column: magnetic moment on the atom in μB.
Atoms (fractional coordinates):
1 Be 0.000 0.000 0.000  -0.03
2 Ag 0.500 0.000 0.000  -0.03
3 Ag 0.000 0.500 0.000  -0.04
4 Ag 0.000 0.000 0.500  -0.02
5 Mn 0.500 0.500 0.500  4.20

---

(15)
A relaxed structure of Mn2BeAgP, computed with PBE.

## Properties
N(E_F) = 2.03 states/eV per cell

Cell lengths 4.222, 4.296, 4.222 Å; angles 90.00, 90.00, 90.00 degrees
Last column: magnetic moment on the atom in μB.
Atoms (fractional coordinates):
1 Ag 0.000 0.500 0.000  -0.02
2 Mn 0.500 0.000 0.000  3.22
3 Be 0.000 0.000 0.000  -0.16
4 P 0.500 0.500 0.500  -0.06
5 Mn 0.000 0.000 0.500  3.60

---

(16)
A relaxed structure of MnBe2ReAg, computed with PBE.

## Properties
N(E_F) = 3.76 states/eV per cell

Cell lengths 4.135, 4.349, 4.135 Å; angles 90.00, 90.00, 90.00 degrees
Last column: magnetic moment on the atom in μB.
Atoms (fractional coordinates):
1 Ag 0.500 0.500 0.500  0.03
2 Be 0.500 0.000 0.000  -0.01
3 Re 0.000 0.500 0.000  0.74
4 Be 0.000 0.000 0.500  -0.01
5 Mn 0.000 0.000 0.000  0.73

---

(17)
A relaxed structure of Be2AgMo2, computed with PBE.

## Properties
N(E_F) = 5.89 states/eV per cell

Cell lengths 6.174, 6.174, 3.351 Å; angles 90.00, 90.00, 90.00 degrees
Atoms (fractional coordinates):
1 Be 0.883 0.617 0.000
2 Be 0.117 0.383 0.000
3 Ag 0.500 0.500 0.000
4 Mo 0.326 0.174 0.500
5 Mo 0.674 0.826 0.500
6 Ag 0.000 0.000 0.000
7 Mo 0.826 0.326 0.500
8 Be 0.617 0.117 0.000
9 Be 0.383 0.883 0.000
10 Mo 0.174 0.674 0.500

---

(18)
A relaxed structure of Be2Ag2Mo, computed with PBE.

## Properties
ΔE to the lowest computed polymorph = 133.7 meV per atom
N(E_F) = 2.94 states/eV per cell

Cell lengths 3.655, 3.655, 5.806 Å; angles 71.66, 71.66, 90.00 degrees
Atoms (fractional coordinates):
1 Be 0.406 0.406 0.188
2 Mo 0.000 0.000 0.000
3 Be 0.594 0.594 0.812
4 Ag 0.750 0.250 0.500
5 Ag 0.250 0.750 0.500

---

(19)
A relaxed structure of BeAg4Mo, computed with PBE.

## Properties
N(E_F) = 2.50 states/eV per cell

Cell lengths 5.362, 5.362, 5.362 Å; angles 60.00, 60.00, 60.00 degrees
Last column: magnetic moment on the atom in μB.
Atoms (fractional coordinates):
1 Ag 0.375 0.375 0.875  0.01
2 Be 0.750 0.750 0.750  -0.07
3 Ag 0.375 0.375 0.375  0.01
4 Ag 0.875 0.375 0.375  0.01
5 Ag 0.375 0.875 0.375  0.01
6 Mo 0.000 0.000 0.000  2.73

---

(20)
A relaxed structure of BeAgMo3, computed with PBE.

## Properties
ΔE to the lowest computed polymorph = 1923.9 meV per atom
N(E_F) = 4.36 states/eV per cell

Cell lengths 4.774, 4.774, 4.774 Å; angles 90.00, 90.00, 90.00 degrees
Atoms (fractional coordinates):
1 Mo 0.000 0.500 0.000
2 Ag 0.000 0.000 0.000
3 Mo 0.500 0.000 0.000
4 Mo 0.000 0.000 0.500
5 Be 0.500 0.500 0.500

---

In order of appearance, DFT formation energy = 0.331 0.121 0.184 0.301 0.460 0.445 0.387 0.205 0.450 0.312 0.118 0.679 1.344 0.502 0.608 1.068 0.175 0.471 0.830 2.742 eV per atom.
In order of appearance, mass density = 7.7 6.7 7.4 7.8 7.1 7.8 6.8 7.1 6.6 6.8 7.5 7.4 5.4 7.4 5.6 8.2 8.3 7.9 8.2 6.2 g/cm3.